[1]
# Mn2PdC PBE-GGA relaxed
# Crystal system: tetragonal
# Calculated total energy in eV per atom: -7.8823
data_Mn2PdC
_symmetry_space_group_name_H-M 'I -4 2 d'
_symmetry_Int_Tables_number 122
_symmetry_space_group_name_Hall 'I -4 2bw'
_cell_length_a 6.4369
_cell_length_b 6.4369
_cell_length_c 4.7281
_cell_angle_alpha 90.00
_cell_angle_beta 90.00
_cell_angle_gamma 90.00
loop_
_atom_site_label
_atom_site_type_symbol
_atom_site_fract_x
_atom_site_fract_y
_atom_site_fract_z
Mn1 Mn 0.1407 0.2500 0.1250
Pd1 Pd 0.0000 0.0000 0.5000
C1 C 0.0000 0.0000 0.0000



[2]
# BaMgTe2 PBE-GGA relaxed
# Crystal system: orthorhombic
# E_form (uncorrected) in eV per atom: -1.055
data_BaMgTe2
_symmetry_space_group_name_H-M 'I m m 2'
_symmetry_Int_Tables_number 44
_symmetry_space_group_name_Hall 'I 2 -2'
_cell_length_a 4.1684
_cell_length_b 4.3312
_cell_length_c 15.6699
_cell_angle_alpha 90.00
_cell_angle_beta 90.00
_cell_angle_gamma 90.00
loop_
_atom_site_label
_atom_site_type_symbol
_atom_site_fract_x
_atom_site_fract_y
_atom_site_fract_z
Ba1 Ba 0.0000 0.0000 0.0000
Mg1 Mg 0.0000 0.5000 0.7530
Te1 Te 0.0000 0.0000 0.3910
Te2 Te 0.0000 0.5000 0.1765



[3]
# Cs2H2F3 PBE-GGA relaxed
# Crystal system: monoclinic
# Calculated total energy in eV per atom: -3.2342
data_Cs2H2F3
_symmetry_space_group_name_H-M 'C 1 2/m 1'
_symmetry_Int_Tables_number 12
_symmetry_space_group_name_Hall '-C 2y'
_cell_length_a 10.0256
_cell_length_b 3.2666
_cell_length_c 8.6080
_cell_angle_alpha 90.00
_cell_angle_beta 90.66
_cell_angle_gamma 90.00
loop_
_atom_site_label
_atom_site_type_symbol
_atom_site_fract_x
_atom_site_fract_y
_atom_site_fract_z
Cs1 Cs 0.1063 0.0000 0.2311
H1 H 0.1303 0.0000 0.5897
F1 F 0.0000 0.5000 0.0000
F2 F 0.1277 0.5000 0.5961



[4]
# LiNbB2N PBE-GGA relaxed
# Crystal system: tetragonal
# E_form (uncorrected) in eV per atom: 0.944
data_LiNbB2N
_symmetry_space_group_name_H-M 'P 4/m m m'
_symmetry_Int_Tables_number 123
_symmetry_space_group_name_Hall '-P 4 2'
_cell_length_a 4.3799
_cell_length_b 4.3799
_cell_length_c 4.0594
_cell_angle_alpha 90.00
_cell_angle_beta 90.00
_cell_angle_gamma 90.00
loop_
_atom_site_label
_atom_site_type_symbol
_atom_site_fract_x
_atom_site_fract_y
_atom_site_fract_z
Li1 Li 0.0000 0.0000 0.0000
Nb1 Nb 0.5000 0.5000 0.5000
B1 B 0.0000 0.5000 0.5000
N1 N 0.5000 0.5000 0.0000



[5]
# K2LiF PBE-GGA relaxed
# ΔE to the lowest computed polymorph in eV per atom: 0.416
# Crystal system: cubic
# E_form (uncorrected) in eV per atom: -0.756
data_K2LiF
_symmetry_space_group_name_H-M 'F m -3 m'
_symmetry_Int_Tables_number 225
_symmetry_space_group_name_Hall '-F 4 2 3'
_cell_length_a 8.1347
_cell_length_b 8.1347
_cell_length_c 8.1347
_cell_angle_alpha 90.00
_cell_angle_beta 90.00
_cell_angle_gamma 90.00
loop_
_atom_site_label
_atom_site_type_symbol
_atom_site_fract_x
_atom_site_fract_y
_atom_site_fract_z
K1 K 0.2500 0.2500 0.2500
Li1 Li 0.0000 0.0000 0.0000
F1 F 0.0000 0.0000 0.5000



[6]
# CoCuCl2 PBE-GGA relaxed
# ΔE to the lowest computed polymorph in eV per atom: 0.427
# Crystal system: cubic
# E_form (uncorrected) in eV per atom: 0.293
data_CoCuCl2
_symmetry_space_group_name_H-M 'F m -3 m'
_symmetry_Int_Tables_number 225
_symmetry_space_group_name_Hall '-F 4 2 3'
_cell_length_a 6.3019
_cell_length_b 6.3019
_cell_length_c 6.3019
_cell_angle_alpha 90.00
_cell_angle_beta 90.00
_cell_angle_gamma 90.00
loop_
_atom_site_label
_atom_site_type_symbol
_atom_site_fract_x
_atom_site_fract_y
_atom_site_fract_z
Co1 Co 0.0000 0.0000 0.0000
Cu1 Cu 0.0000 0.0000 0.5000
Cl1 Cl 0.2500 0.2500 0.2500